BaZr2As (PBE, relaxed); calculated volume = 115.06 Å³ per cell; uncorrected energy = -6.079 eV/atom; formation energy from the elements = -0.162 eV per atom; space-group type = No. 160
1.0
9.778 -0.006 -0.004
9.068 3.658 -0.004
9.068 1.757 3.208
As Zr Ba
1 2 1
Direct
0.514 0.514 0.514
0.983 0.983 0.983
0.236 0.236 0.236
0.767 0.767 0.767